Computed, not measured: an optimized crystal structure of CeNpMnO6 at the GGA+U level of DFT.

Cell and atoms, written as CIF:
```
data_CeNpMnO6
_chemical_formula_sum 'Ce2 Np2 Mn2 O12'
_space_group_name_H-M_alt 'P -3 1 c'
_space_group_IT_number 163
_space_group_name_Hall '-P 3 2c'
_cell_length_a 5.4714
_cell_length_b 5.4714
_cell_length_c 9.9023
_cell_angle_alpha 90.00
_cell_angle_beta 90.00
_cell_angle_gamma 120.00
loop_
_atom_site_label
_atom_site_type_symbol
_atom_site_fract_x
_atom_site_fract_y
_atom_site_fract_z
Ce1 Ce 0.0000 0.0000 0.0000
Np1 Np 0.3333 0.6667 0.2500
Mn1 Mn 0.3333 0.6667 0.7500
O1 O 0.0145 0.3498 0.1347
```

## Properties
The total energy is -8.951 eV per atom. The calculated volume is 14.26 Å³/atom.